1.
AcPr2Ho6: optimized geometry, PBE.

Lattice parameters (Å, degrees): 9.376 9.376 9.376 43.20 43.20 43.20
Sites, in units of the cell vectors:
1 Ac 0.000 0.000 0.000
2 Pr 0.586 0.586 0.586
3 Pr 0.756 0.756 0.756
4 Ho 0.046 0.046 0.560
5 Ho 0.046 0.560 0.046
6 Ho 0.286 0.286 0.779
7 Ho 0.286 0.779 0.286
8 Ho 0.560 0.046 0.046
9 Ho 0.779 0.286 0.286

Values from the calculation:
Space-group type: R3m, No. 160
Calculated formation energy in eV/atom: 0.37
V in Å³/cell: 350
Total magnetic moment in Bohr magnetons per cell: 0.00

=====

2.
Ac7PrHo2: optimized geometry, PBE.

Lattice parameters (Å, degrees): 9.658 9.658 6.144 90.00 90.00 116.44
Sites, in units of the cell vectors:
1 Ac 0.000 0.000 0.000
2 Ac 0.189 0.440 0.000
3 Ac 0.256 0.744 0.500
4 Ac 0.440 0.189 0.000
5 Ac 0.560 0.811 0.000
6 Ac 0.744 0.256 0.500
7 Ac 0.811 0.560 0.000
8 Pr 0.500 0.500 0.500
9 Ho 0.201 0.799 0.000
10 Ho 0.799 0.201 0.000

Values from the calculation:
Space-group type: Cmmm, No. 65
Calculated formation energy in eV/atom: 0.62
V in Å³/cell: 513
Total magnetic moment in Bohr magnetons per cell: 0.00

=====

3.
AcPr4Ho: optimized geometry, PBE.

Lattice parameters (Å, degrees): 3.580 5.887 10.710 90.00 90.06 90.00
Sites, in units of the cell vectors:
1 Ac 0.000 0.000 0.000
2 Pr 0.004 0.500 0.203
3 Pr 0.005 0.500 0.797
4 Pr 0.503 0.000 0.681
5 Pr 0.504 0.000 0.319
6 Ho 0.503 0.500 0.500

Values from the calculation:
Space-group type: Pm, No. 6
Calculated formation energy in eV/atom: 0.18
V in Å³/cell: 226
Total magnetic moment in Bohr magnetons per cell: 0.00

=====

4.
Ac3Pr3Ho2: optimized geometry, PBE.

Lattice parameters (Å, degrees): 6.195 6.210 7.877 90.00 90.00 90.00
Sites, in units of the cell vectors:
1 Ac 0.000 0.000 0.000
2 Ac 0.000 0.000 0.500
3 Ac 0.500 0.500 0.000
4 Pr 0.500 0.000 0.258
5 Pr 0.500 0.000 0.742
6 Pr 0.500 0.500 0.500
7 Ho 0.000 0.500 0.258
8 Ho 0.000 0.500 0.742

Values from the calculation:
Space-group type: Pmmm, No. 47
Calculated formation energy in eV/atom: 0.11
V in Å³/cell: 303
Total magnetic moment in Bohr magnetons per cell: 0.00